NaLi5P2Pt GGA-PBE optimized geometry; total magnetic moment = 0.00 μB/cell; E = -3.574 eV per atom; DOS at the Fermi energy = 1.87 states/eV/cell; energy relative to the elements = -0.4910 eV/atom; calculated density = 2.71 g/cm³
1.0
4.6070 0.0000 0.0000
0.0000 4.6070 0.0000
0.0000 0.0000 9.0938
Li Na P Pt
5 1 2 1
Cartesian
0.0000 2.3035 7.5614
2.3035 0.0000 7.5614
2.3035 0.0000 1.5324
0.0000 0.0000 4.5469
0.0000 2.3035 1.5324
2.3035 2.3035 4.5469
0.0000 0.0000 2.3315
0.0000 0.0000 6.7623
0.0000 0.0000 0.0000